Entry 1:
## K3Se (PBE-GGA)

Data for a geometry-optimized K3Se structure.

Cell and atoms, written as CIF:
```
data_K3Se
_chemical_formula_sum 'K3 Se1'
_symmetry_space_group_name_H-M 'P -4 m 2'
_symmetry_Int_Tables_number 115
_cell_length_a 4.6497
_cell_length_b 4.6497
_cell_length_c 8.9411
_cell_angle_alpha 90.00
_cell_angle_beta 90.00
_cell_angle_gamma 90.00
loop_
_symmetry_equiv_pos_as_xyz
'x,y,z'
'y,-x,-z'
'-x,-y,z'
'-y,x,-z'
'-x,y,z'
'-y,-x,-z'
'x,-y,z'
'y,x,-z'
loop_
_atom_site_label
_atom_site_type_symbol
_atom_site_fract_x
_atom_site_fract_y
_atom_site_fract_z
K1 K 0.0000 0.0000 0.0000
K2 K 0.0000 0.5000 0.7090
Se1 Se 0.5000 0.5000 0.0000
```

Entry 2:
## KSe2 (PBE-GGA)

Data for a geometry-optimized KSe2 structure.

Cell and atoms, written as CIF:
```
data_KSe2
_chemical_formula_sum 'K2 Se4'
_symmetry_space_group_name_H-M 'P 1'
_symmetry_Int_Tables_number 1
_cell_length_a 6.1681
_cell_length_b 6.3661
_cell_length_c 6.3676
_cell_angle_alpha 93.85
_cell_angle_beta 111.63
_cell_angle_gamma 111.83
loop_
_symmetry_equiv_pos_as_xyz
'x,y,z'
loop_
_atom_site_label
_atom_site_type_symbol
_atom_site_fract_x
_atom_site_fract_y
_atom_site_fract_z
K1 K 0.0000 0.0000 0.0000
K2 K 0.2532 0.6006 0.6028
Se1 Se 0.1271 0.5516 0.0525
Se2 Se 0.6260 0.2050 0.3999
Se3 Se 0.6272 0.2798 0.7734
Se4 Se 0.6274 0.8326 0.3246
```

Entry 3:
## KSe2 (PBE-GGA)

Data for a geometry-optimized KSe2 structure.

Cell and atoms, written as CIF:
```
data_KSe2
_chemical_formula_sum 'K2 Se4'
_symmetry_space_group_name_H-M 'P 1 2 1'
_symmetry_Int_Tables_number 3
_cell_length_a 5.3707
_cell_length_b 4.6890
_cell_length_c 8.3497
_cell_angle_alpha 90.00
_cell_angle_beta 100.16
_cell_angle_gamma 90.00
loop_
_symmetry_equiv_pos_as_xyz
'x,y,z'
'-x,y,-z'
loop_
_atom_site_label
_atom_site_type_symbol
_atom_site_fract_x
_atom_site_fract_y
_atom_site_fract_z
K1 K 0.1741 0.0000 0.2776
Se1 Se 0.3065 0.4761 0.7694
Se2 Se 0.5000 0.5108 0.5000
Se3 Se 0.5000 0.7596 0.0000
```

Entry 4:
## KSe2 (PBE-GGA)

Data for a geometry-optimized KSe2 structure.

Cell and atoms, written as CIF:
```
data_KSe2
_chemical_formula_sum 'K1 Se2'
_symmetry_space_group_name_H-M 'P 1 2/m 1'
_symmetry_Int_Tables_number 10
_cell_length_a 4.6600
_cell_length_b 4.3980
_cell_length_c 4.9477
_cell_angle_alpha 90.00
_cell_angle_beta 107.09
_cell_angle_gamma 90.00
loop_
_symmetry_equiv_pos_as_xyz
'x,y,z'
'-x,-y,-z'
'-x,y,-z'
'x,-y,z'
loop_
_atom_site_label
_atom_site_type_symbol
_atom_site_fract_x
_atom_site_fract_y
_atom_site_fract_z
K1 K 0.0000 0.0000 0.0000
Se1 Se 0.2793 0.5000 0.5995
```

| no. | E_form (uncorrected) (eV per atom) | theoretical density (g/cm3) |
| --- | --- | --- |
| 1 | -0.640 | 1.69 |
| 2 | -0.665 | 3.12 |
| 3 | -0.660 | 3.16 |
| 4 | -0.644 | 3.38 |